Compound: La2Zn2Pd3
Source: Alexandria
Functional: GGA-PBE
Structure: relaxed Values from VASP.

## Properties
The density of states at the Fermi level comes out at 4.09 states/eV/cell. As for the space group: C2/m (12). The energy relative to the lowest polymorph listed for this composition comes out at 66 meV/atom. The calculated formation energy comes out at -660 meV/atom.

Cell and atoms, written as Quantum ESPRESSO input:
```
&SYSTEM
  ibrav = 0, nat = 7, ntyp = 3
/
ATOMIC_SPECIES
Zn 65.41 Zn.upf
Pd 106.42 Pd.upf
La 138.91 La.upf
CELL_PARAMETERS angstrom
-1.055 -1.576 -3.585
3.085 -3.795 3.054
-6.820 -0.253 2.118
ATOMIC_POSITIONS crystal
Zn 0.847 0.693 0.775
Zn 0.153 0.307 0.225
Pd 0.375 0.751 0.560
Pd 0.500 0.000 0.000
Pd 0.625 0.249 0.440
La 0.125 0.250 0.758
La 0.875 0.750 0.242
```